{
  "formula": "ZrHS2",
  "functional": "PBE",
  "state": "relaxed",
  "space_group": "R-3m",
  "final_energy_ev_per_atom": -6.02,
  "cell": [[1.814, 1.047, 6.310], [-1.814, 1.047, 6.310], [0.000, -2.095, 6.310]],
  "species": ["Zr", "H", "S", "S"],
  "fractional_positions": [[0.000, 0.000, 0.000], [0.500, 0.500, 0.500], [0.414, 0.414, 0.414], [0.586, 0.586, 0.586]]
}

=====

{
  "formula": "CdIrPt2",
  "functional": "PBE",
  "state": "relaxed",
  "delta_e_f_ev_per_atom": 0.09,
  "space_group": "Pmmm",
  "cell": [[2.796, 0.000, 0.000], [0.000, 4.839, 0.000], [0.000, 0.000, 4.849]],
  "species": ["Cd", "Ir", "Pt", "Pt"],
  "fractional_positions": [[0.000, 0.000, 0.000], [0.500, 0.000, 0.500], [0.000, 0.500, 0.500], [0.500, 0.500, 0.000]]
}